# 1
## CaMgZr2 (PBE)

Data for crystalline CaMgZr2 at its relaxed geometry.

Results
**Total moment**: 2.2 Bohr magnetons per cell
**DFT formation energy**: 0.327 eV/atom

a = 5.2515 Å, b = 5.2515 Å, c = 5.2515 Å
α = 60.00°, β = 60.00°, γ = 60.00°
With the nearest neighbours (Å) after each atom.
Fractional coordinates of all 4 atoms:
1 Ca 0.0000 0.0000 0.0000  4 Zr 3.22, 4 Mg 3.22
2 Mg 0.2500 0.2500 0.2500  4 Zr 3.22, 4 Ca 3.22
3 Zr 0.5000 0.5000 0.5000  4 Zr 3.22, 4 Mg 3.22
4 Zr 0.7500 0.7500 0.7500  4 Zr 3.22, 4 Ca 3.22


# 2
## TbPuInRu (PBE)

Data for crystalline TbPuInRu at its relaxed geometry.

Results
**E above lowest polymorph**: 183 meV per atom
**Total moment**: 5.1 Bohr magnetons per cell
**DFT formation energy**: -0.109 eV/atom

a = 5.0734 Å, b = 5.0734 Å, c = 5.0734 Å
α = 60.00°, β = 60.00°, γ = 60.00°
With the nearest neighbours (Å) after each atom.
Fractional coordinates of all 4 atoms:
1 Tb 0.0000 0.0000 0.0000  4 In 3.11, 4 Ru 3.11
2 Pu 0.5000 0.5000 0.5000  4 In 3.11, 4 Ru 3.11
3 In 0.7500 0.7500 0.7500  4 Pu 3.11, 4 Tb 3.11
4 Ru 0.2500 0.2500 0.2500  4 Pu 3.11, 4 Tb 3.11


# 3
## Er6HgTe3P2 (PBE)

Data for crystalline Er6HgTe3P2 at its relaxed geometry.

Results
**ΔE_f (raw)**: -1266 meV per atom
**Total moment**: 0.0 Bohr magnetons per cell

a = 9.4286 Å, b = 9.4286 Å, c = 8.5870 Å
α = 103.58°, β = 103.58°, γ = 25.15°
With the nearest neighbours (Å) after each atom.
Fractional coordinates of all 12 atoms:
1 Er 0.0129 0.0129 0.2509  1 P 2.80, 2 Hg 2.94, 2 Te 3.02
2 Er 0.3241 0.3241 0.4366  3 P 2.76-2.79
3 Er 0.3331 0.3331 0.8850  2 P 2.81, 1 Hg 2.99, 1 Te 3.03
4 Er 0.6669 0.6669 0.1150  2 P 2.81, 1 Hg 2.99, 1 Te 3.03
5 Er 0.6759 0.6759 0.5634  3 P 2.76-2.79
6 Er 0.9871 0.9871 0.7491  1 P 2.80, 2 Hg 2.94, 2 Te 3.02
7 Hg 0.5000 0.5000 0.0000  6 Er 2.94-2.99
8 Te 0.1644 0.1644 0.8326  6 Er 3.03-3.17
9 Te 0.5000 0.5000 0.5000  6 Er 3.02-3.15
10 Te 0.8356 0.8356 0.1674  6 Er 3.03-3.17
11 P 0.1696 0.1696 0.3398  6 Er 2.76-2.81
12 P 0.8304 0.8304 0.6602  6 Er 2.76-2.81


# 4
## LiLaGa2Fe (PBE)

Data for crystalline LiLaGa2Fe at its relaxed geometry.

Results
**Total moment**: 0.0 Bohr magnetons per cell
**DFT formation energy**: -0.226 eV/atom

a = 4.5939 Å, b = 4.5939 Å, c = 4.6638 Å
α = 90.00°, β = 90.00°, γ = 90.00°
With the nearest neighbours (Å) after each atom.
Fractional coordinates of all 5 atoms:
1 Li 0.0000 0.0000 0.0000  2 Fe 2.33
2 La 0.5000 0.5000 0.0000  4 Li 3.25, 8 Ga 3.27
3 Ga 0.0000 0.5000 0.5000  2 Fe 2.30
4 Ga 0.5000 0.0000 0.5000  2 Fe 2.30
5 Fe 0.0000 0.0000 0.5000  4 Ga 2.30, 2 Li 2.33


# 5
## NaCaBe2H6 (PBE)

Data for crystalline NaCaBe2H6 at its relaxed geometry.

Results
**Total moment**: 0.0 Bohr magnetons per cell
**E**: -0.1189 hartree per atom

a = 6.7169 Å, b = 6.7169 Å, c = 6.7169 Å
α = 40.89°, β = 40.89°, γ = 40.89°
With the nearest neighbours (Å) after each atom.
Fractional coordinates of all 10 atoms:
1 Na 0.0000 0.0000 0.0000  6 H 2.27
2 Ca 0.5000 0.5000 0.5000  6 H 2.26
3 Be 0.2477 0.2477 0.2477  3 H 1.39
4 Be 0.7523 0.7523 0.7523  3 H 1.39
5 H 0.0362 0.7863 0.4463  1 Be 1.39
6 H 0.2137 0.5537 0.9638  1 Be 1.39
7 H 0.4463 0.0362 0.7863  1 Be 1.39
8 H 0.5537 0.9638 0.2137  1 Be 1.39
9 H 0.7863 0.4463 0.0362  1 Be 1.39
10 H 0.9638 0.2137 0.5537  1 Be 1.39


# 6
## Ce4Sb3O2 (PBE)

Data for crystalline Ce4Sb3O2 at its relaxed geometry.

Results
**ΔE_f (raw)**: -1836 meV per atom
**Total moment**: 6.0 Bohr magnetons per cell

a = 8.5091 Å, b = 8.5091 Å, c = 6.7455 Å
α = 93.92°, β = 93.92°, γ = 74.71°
With the nearest neighbours (Å) after each atom.
Fractional coordinates of all 18 atoms:
1 Ce 0.0611 0.6930 0.9765  2 O 2.35-2.37
2 Ce 0.2617 0.3951 0.4058  2 O 2.33-2.39
3 Ce 0.3070 0.9389 0.5235  2 O 2.35-2.37
4 Ce 0.3951 0.2617 0.9058  2 O 2.33-2.39
5 Ce 0.6049 0.7383 0.0942  2 O 2.33-2.39
6 Ce 0.6930 0.0611 0.4765  2 O 2.35-2.37
7 Ce 0.7383 0.6049 0.5942  2 O 2.33-2.39
8 Ce 0.9389 0.3070 0.0235  2 O 2.35-2.37
9 Sb 0.0140 0.7504 0.4584  5 Ce 3.14-3.29
10 Sb 0.2496 0.9860 0.0416  5 Ce 3.14-3.29
11 Sb 0.4003 0.5997 0.7500  6 Ce 3.14-3.24
12 Sb 0.5997 0.4003 0.2500  6 Ce 3.14-3.24
13 Sb 0.7504 0.0140 0.9584  5 Ce 3.14-3.29
14 Sb 0.9860 0.2496 0.5416  5 Ce 3.14-3.29
15 O 0.1642 0.4232 0.0747  4 Ce 2.33-2.39
16 O 0.4232 0.1642 0.5747  4 Ce 2.33-2.39
17 O 0.5768 0.8358 0.4253  4 Ce 2.33-2.39
18 O 0.8358 0.5768 0.9253  4 Ce 2.33-2.39


# 7
## K3U3MoS8 (PBE)

Data for crystalline K3U3MoS8 at its relaxed geometry.

Results
**ΔE_f (raw)**: -1251 meV per atom
**Total moment**: 5.0 Bohr magnetons per cell

a = 8.8883 Å, b = 8.8883 Å, c = 8.8883 Å
α = 50.67°, β = 50.67°, γ = 50.67°
With the nearest neighbours (Å) after each atom.
Fractional coordinates of all 15 atoms:
1 K 0.0000 0.5000 0.5000  6 S 3.14-3.19
2 K 0.5000 0.0000 0.5000  6 S 3.14-3.19
3 K 0.5000 0.5000 0.0000  6 S 3.14-3.19
4 U 0.0000 0.0000 0.5000  6 S 2.71-2.73
5 U 0.0000 0.5000 0.0000  6 S 2.71-2.73
6 U 0.5000 0.0000 0.0000  6 S 2.71-2.73
7 Mo 0.5000 0.5000 0.5000  6 S 2.57
8 S 0.2368 0.2368 0.2368  3 U 2.73
9 S 0.2483 0.7229 0.7229  1 Mo 2.57, 2 U 2.71
10 S 0.2771 0.2771 0.7517  1 Mo 2.57, 2 U 2.71
11 S 0.2771 0.7517 0.2771  1 Mo 2.57, 2 U 2.71
12 S 0.7229 0.2483 0.7229  1 Mo 2.57, 2 U 2.71
13 S 0.7229 0.7229 0.2483  1 Mo 2.57, 2 U 2.71
14 S 0.7517 0.2771 0.2771  1 Mo 2.57, 2 U 2.71
15 S 0.7632 0.7632 0.7632  3 U 2.73


# 8
## Li3Tm2Pd4 (PBE)

Data for crystalline Li3Tm2Pd4 at its relaxed geometry.

Results
**Total moment**: 0.0 Bohr magnetons per cell
**DFT formation energy**: -0.633 eV/atom

a = 4.6641 Å, b = 4.6641 Å, c = 8.8790 Å
α = 96.34°, β = 96.34°, γ = 55.27°
With the nearest neighbours (Å) after each atom.
Fractional coordinates of all 9 atoms:
1 Li 0.0000 0.0000 0.0000  8 Pd 2.75-3.06
2 Li 0.3517 0.3517 0.4342  1 Li 2.58, 3 Pd 2.71-2.81
3 Li 0.6483 0.6483 0.5658  1 Li 2.58, 3 Pd 2.71-2.81
4 Tm 0.3241 0.3241 0.7811  7 Pd 2.82-2.87, 5 Li 3.12-3.14
5 Tm 0.6759 0.6759 0.2189  7 Pd 2.82-2.87, 5 Li 3.12-3.14
6 Pd 0.0126 0.0126 0.3454  3 Li 2.71-2.81, 1 Pd 2.78, 3 Tm 2.85-2.87
7 Pd 0.3405 0.3405 0.1033  4 Li 2.75-2.93, 4 Tm 2.82-2.85
8 Pd 0.6595 0.6595 0.8967  4 Li 2.75-2.93, 4 Tm 2.82-2.85
9 Pd 0.9874 0.9874 0.6546  3 Li 2.71-2.81, 1 Pd 2.78, 3 Tm 2.85-2.87


# 9
## CaTa3Ru (PBE)

Data for crystalline CaTa3Ru at its relaxed geometry.

Results
**E above lowest polymorph**: 0 meV per atom
**Total moment**: 0.0 Bohr magnetons per cell
**DFT formation energy**: 0.893 eV/atom

a = 4.9001 Å, b = 4.9001 Å, c = 4.9001 Å
α = 90.00°, β = 90.00°, γ = 90.00°
With the nearest neighbours (Å) after each atom.
Fractional coordinates of all 5 atoms:
1 Ca 0.0000 0.0000 0.0000  12 Ta 3.46
2 Ta 0.0000 0.5000 0.5000  2 Ru 2.45
3 Ta 0.5000 0.0000 0.5000  2 Ru 2.45
4 Ta 0.5000 0.5000 0.0000  2 Ru 2.45
5 Ru 0.5000 0.5000 0.5000  6 Ta 2.45


# 10
## KRh2Se (PBE)

Data for crystalline KRh2Se at its relaxed geometry.

Results
**ΔE_f (raw)**: 185 meV per atom
**Total moment**: 0.0 Bohr magnetons per cell

a = 6.3775 Å, b = 6.3775 Å, c = 6.3775 Å
α = 105.36°, β = 105.36°, γ = 118.04°
With the nearest neighbours (Å) after each atom.
Fractional coordinates of all 8 atoms:
1 K 0.0000 0.0000 0.0000  8 Rh 3.28-3.57, 2 Se 3.28
2 K 0.7500 0.2500 0.5000  8 Rh 3.28-3.57, 2 Se 3.28
3 Rh 0.2482 0.6250 0.1232  2 Se 2.32
4 Rh 0.3750 0.4982 0.6232  2 Se 2.32
5 Rh 0.5018 0.1250 0.8768  2 Se 2.32
6 Rh 0.8750 0.7518 0.3768  2 Se 2.32
7 Se 0.2500 0.7500 0.5000  4 Rh 2.32
8 Se 0.5000 0.5000 0.0000  4 Rh 2.32


# 11
## ErMgTlIr (PBE)

Data for crystalline ErMgTlIr at its relaxed geometry.

Results
**Total moment**: 0.0 Bohr magnetons per cell
**DFT formation energy**: -0.307 eV/atom

a = 4.8872 Å, b = 4.8872 Å, c = 4.8872 Å
α = 60.00°, β = 60.00°, γ = 60.00°
With the nearest neighbours (Å) after each atom.
Fractional coordinates of all 4 atoms:
1 Er 0.0000 0.0000 0.0000  4 Tl 2.99, 4 Ir 2.99
2 Mg 0.5000 0.5000 0.5000  4 Tl 2.99, 4 Ir 2.99
3 Tl 0.7500 0.7500 0.7500  4 Mg 2.99, 4 Er 2.99
4 Ir 0.2500 0.2500 0.2500  4 Er 2.99, 4 Mg 2.99


# 12
## V6SbMo5 (PBE)

Data for crystalline V6SbMo5 at its relaxed geometry.

Results
**ΔE_f (raw)**: -115 meV per atom
**Total moment**: 0.0 Bohr magnetons per cell

a = 7.5902 Å, b = 7.5902 Å, c = 7.5902 Å
α = 146.43°, β = 131.53°, γ = 60.25°
With the nearest neighbours (Å) after each atom.
Fractional coordinates of all 12 atoms:
1 V 0.0719 0.3281 0.7439  7 Mo 2.63-2.72, 1 Sb 2.76
2 V 0.2306 0.0000 0.2306  6 Mo 2.62-2.72, 2 Sb 2.76, 1 V 2.87
3 V 0.4158 0.6719 0.7439  7 Mo 2.63-2.72, 1 Sb 2.76
4 V 0.5842 0.3281 0.2561  7 Mo 2.63-2.72, 1 Sb 2.76
5 V 0.7694 0.0000 0.7694  6 Mo 2.62-2.72, 2 Sb 2.76, 1 V 2.87
6 V 0.9281 0.6719 0.2561  7 Mo 2.63-2.72, 1 Sb 2.76
7 Sb 0.5000 0.5000 0.0000  8 V 2.76, 4 Mo 3.06
8 Mo 0.0000 0.5000 0.5000  8 V 2.62-2.72
9 Mo 0.1688 0.1688 0.0000  8 V 2.63-2.67
10 Mo 0.3374 0.8374 0.5000  8 V 2.65-2.72
11 Mo 0.6626 0.1626 0.5000  8 V 2.65-2.72
12 Mo 0.8312 0.8312 0.0000  8 V 2.63-2.67


Please write out number 6 again, unchanged.
## Ce4Sb3O2 (PBE)

Data for crystalline Ce4Sb3O2 at its relaxed geometry.

Results
**ΔE_f (raw)**: -1836 meV per atom
**Total moment**: 6.0 Bohr magnetons per cell

a = 8.5091 Å, b = 8.5091 Å, c = 6.7455 Å
α = 93.92°, β = 93.92°, γ = 74.71°
With the nearest neighbours (Å) after each atom.
Fractional coordinates of all 18 atoms:
1 Ce 0.0611 0.6930 0.9765  2 O 2.35-2.37
2 Ce 0.2617 0.3951 0.4058  2 O 2.33-2.39
3 Ce 0.3070 0.9389 0.5235  2 O 2.35-2.37
4 Ce 0.3951 0.2617 0.9058  2 O 2.33-2.39
5 Ce 0.6049 0.7383 0.0942  2 O 2.33-2.39
6 Ce 0.6930 0.0611 0.4765  2 O 2.35-2.37
7 Ce 0.7383 0.6049 0.5942  2 O 2.33-2.39
8 Ce 0.9389 0.3070 0.0235  2 O 2.35-2.37
9 Sb 0.0140 0.7504 0.4584  5 Ce 3.14-3.29
10 Sb 0.2496 0.9860 0.0416  5 Ce 3.14-3.29
11 Sb 0.4003 0.5997 0.7500  6 Ce 3.14-3.24
12 Sb 0.5997 0.4003 0.2500  6 Ce 3.14-3.24
13 Sb 0.7504 0.0140 0.9584  5 Ce 3.14-3.29
14 Sb 0.9860 0.2496 0.5416  5 Ce 3.14-3.29
15 O 0.1642 0.4232 0.0747  4 Ce 2.33-2.39
16 O 0.4232 0.1642 0.5747  4 Ce 2.33-2.39
17 O 0.5768 0.8358 0.4253  4 Ce 2.33-2.39
18 O 0.8358 0.5768 0.9253  4 Ce 2.33-2.39